# Ga2SnI4 PBE relaxed
data_Ga2SnI4
_chemical_formula_sum 'Ga2 Sn1 I4'
_cell_length_a 6.3775
_cell_length_b 6.3775
_cell_length_c 8.7685
_cell_angle_alpha 111.33
_cell_angle_beta 111.33
_cell_angle_gamma 90.00
_symmetry_space_group_name_H-M 'P 1'
_symmetry_Int_Tables_number 1
loop_
_symmetry_equiv_pos_as_xyz
'x,y,z'
loop_
_atom_site_label
_atom_site_fract_x
_atom_site_fract_y
_atom_site_fract_z
_atom_site_occupancy
Sn1 0.0000 0.0000 0.0000 1
I1 0.7940 0.7940 0.5880 1
I2 0.0000 0.5000 0.0000 1
Ga1 0.3956 0.3956 0.7913 1
I3 0.5000 0.0000 0.0000 1
Ga2 0.6044 0.6044 0.2087 1
I4 0.2060 0.2060 0.4120 1
# * crystal system: tetragonal
# * ΔE to the lowest computed polymorph: 86 meV/atom
# * total magnetic moment: 0.0 μB/f.u.
# * volume: 305.9 Å³ per cell